[1]
DFT (PBE) results for ThSi2Os after structural relaxation.

For the raw formation energy, the calculation gives -2.85 eV per formula unit. Its crystal system is trigonal. As for the density of states at the Fermi level: 0.35 states/eV per atom. The value obtained for the size of the total moment is 0.00 μB/cell. Its electronic total energy is -8.0857 eV/atom. As for the density: 10.60 g/cm3.

Unit cell a=5.558 b=5.558 c=5.558 alpha=43.91 beta=43.91 gamma=43.91
Positions (direct):
Th 0.000 0.000 0.000
Si 0.209 0.209 0.209
Si 0.791 0.791 0.791
Os 0.500 0.500 0.500


[2]
DFT (PBE) results for Th2SiOs after structural relaxation.

For the raw formation energy, the calculation gives -2.19 eV per formula unit. Its crystal system is monoclinic. As for the density of states at the Fermi level: 0.89 states/eV per atom. The value obtained for the size of the total moment is 0.00 μB/cell. Its electronic total energy is -8.4206 eV/atom. As for the density: 11.80 g/cm3.

Unit cell a=5.863 b=4.108 c=8.421 alpha=90.00 beta=108.82 gamma=90.00
Positions (direct):
Th 0.200 0.250 0.413
Th 0.277 0.750 0.061
Th 0.723 0.250 0.939
Th 0.800 0.750 0.587
Si 0.351 0.750 0.710
Si 0.649 0.250 0.290
Os 0.132 0.250 0.788
Os 0.868 0.750 0.212